An optimized crystal structure of SrCrO2, computed with PBE with a Hubbard U.

Structure (CIF):
```
data_SrCrO2
_chemical_formula_sum 'Sr1 Cr1 O2'
_symmetry_space_group_name_H-M 'P 1'
_symmetry_Int_Tables_number 1
_symmetry_space_group_name_Hall 'P 1'
_cell_length_a 6.591
_cell_length_b 6.591
_cell_length_c 6.591
_cell_angle_alpha 32.60
_cell_angle_beta 32.60
_cell_angle_gamma 32.60
loop_
_atom_site_label
_atom_site_type_symbol
_atom_site_fract_x
_atom_site_fract_y
_atom_site_fract_z
_atom_site_occupancy
Sr1 Sr 0.500 0.500 0.500 1
O1 O 0.902 0.902 0.902 1
O2 O 0.098 0.098 0.098 1
Cr1 Cr 0.000 0.000 0.000 1
```

## Properties
Electronic total energy: -26.11 eV per cell
Energy above the lowest structure with this stoichiometry: 41.01 kJ per mole of atoms
ρ: 3856 kg/m³